Entry P
RbCoAs2Br after structural relaxation. Source: Alexandria via LeMat-Bulk, functional PBE.

```
data_RbCoAs2Br
_chemical_formula_sum 'Rb1 Co1 As2 Br1'
_symmetry_space_group_name_H-M 'P 4/m m m'
_symmetry_Int_Tables_number 123
_symmetry_space_group_name_Hall '-P 4 2'
_cell_length_a 6.715
_cell_length_b 6.715
_cell_length_c 6.145
_cell_angle_alpha 90.00
_cell_angle_beta 90.00
_cell_angle_gamma 90.00
loop_
_atom_site_label
_atom_site_type_symbol
_atom_site_fract_x
_atom_site_fract_y
_atom_site_fract_z
Rb1 Rb 0.000 0.000 0.000
Co1 Co 0.500 0.500 0.500
As1 As 0.000 0.500 0.000
Br1 Br 0.000 0.000 0.500
```

Entry Q
RbCoAs2Br after structural relaxation. Source: Alexandria via LeMat-Bulk, functional PBE.

```
data_RbCoAs2Br
_chemical_formula_sum 'Rb1 Co1 As2 Br1'
_symmetry_space_group_name_H-M 'P 4/m m m'
_symmetry_Int_Tables_number 123
_symmetry_space_group_name_Hall '-P 4 2'
_cell_length_a 4.456
_cell_length_b 4.456
_cell_length_c 8.957
_cell_angle_alpha 90.00
_cell_angle_beta 90.00
_cell_angle_gamma 90.00
loop_
_atom_site_label
_atom_site_type_symbol
_atom_site_fract_x
_atom_site_fract_y
_atom_site_fract_z
Rb1 Rb 0.000 0.000 0.000
Co1 Co 0.500 0.500 0.500
As1 As 0.000 0.500 0.500
Br1 Br 0.500 0.500 0.000
```

Which one is most stable, and which one is least stable? entry Q is the most stable of them, while entry P is the least stable.

Entry P
RbCoAsBr2 after structural relaxation. Source: Alexandria via LeMat-Bulk, functional PBE.

```
data_RbCoAsBr2
_chemical_formula_sum 'Rb1 Co1 As1 Br2'
_symmetry_space_group_name_H-M 'P 4/m m m'
_symmetry_Int_Tables_number 123
_symmetry_space_group_name_Hall '-P 4 2'
_cell_length_a 6.393
_cell_length_b 6.393
_cell_length_c 6.376
_cell_angle_alpha 90.00
_cell_angle_beta 90.00
_cell_angle_gamma 90.00
loop_
_atom_site_label
_atom_site_type_symbol
_atom_site_fract_x
_atom_site_fract_y
_atom_site_fract_z
Rb1 Rb 0.000 0.000 0.000
Co1 Co 0.500 0.500 0.500
As1 As 0.000 0.000 0.500
Br1 Br 0.000 0.500 0.000
```

Entry Q
RbCoAsBr2 after structural relaxation. Source: Alexandria via LeMat-Bulk, functional PBE.

```
data_RbCoAsBr2
_chemical_formula_sum 'Rb1 Co1 As1 Br2'
_symmetry_space_group_name_H-M 'P 4/m m m'
_symmetry_Int_Tables_number 123
_symmetry_space_group_name_Hall '-P 4 2'
_cell_length_a 5.469
_cell_length_b 5.469
_cell_length_c 4.406
_cell_angle_alpha 90.00
_cell_angle_beta 90.00
_cell_angle_gamma 90.00
loop_
_atom_site_label
_atom_site_type_symbol
_atom_site_fract_x
_atom_site_fract_y
_atom_site_fract_z
Rb1 Rb 0.000 0.000 0.000
Co1 Co 0.500 0.500 0.500
As1 As 0.500 0.500 0.000
Br1 Br 0.000 0.500 0.500
```

Which one is most stable, and which one is least stable? entry Q is the most stable of them, while entry P is the least stable.

Entry P
CoAsSBr2 after structural relaxation. Source: Alexandria via LeMat-Bulk, functional PBE.

```
data_CoAsSBr2
_chemical_formula_sum 'Co1 As1 S1 Br2'
_symmetry_space_group_name_H-M 'P 4/m m m'
_symmetry_Int_Tables_number 123
_symmetry_space_group_name_Hall '-P 4 2'
_cell_length_a 4.758
_cell_length_b 4.758
_cell_length_c 4.715
_cell_angle_alpha 90.00
_cell_angle_beta 90.00
_cell_angle_gamma 90.00
loop_
_atom_site_label
_atom_site_type_symbol
_atom_site_fract_x
_atom_site_fract_y
_atom_site_fract_z
Co1 Co 0.000 0.000 0.000
As1 As 0.000 0.000 0.500
S1 S 0.500 0.500 0.500
Br1 Br 0.000 0.500 0.000
```

Entry Q
CoAsSBr2 after structural relaxation. Source: Alexandria via LeMat-Bulk, functional PBE.

```
data_CoAsSBr2
_chemical_formula_sum 'Co1 As1 S1 Br2'
_symmetry_space_group_name_H-M 'P 4/m m m'
_symmetry_Int_Tables_number 123
_symmetry_space_group_name_Hall '-P 4 2'
_cell_length_a 5.150
_cell_length_b 5.150
_cell_length_c 4.916
_cell_angle_alpha 90.00
_cell_angle_beta 90.00
_cell_angle_gamma 90.00
loop_
_atom_site_label
_atom_site_type_symbol
_atom_site_fract_x
_atom_site_fract_y
_atom_site_fract_z
Co1 Co 0.000 0.000 0.000
As1 As 0.500 0.500 0.000
S1 S 0.500 0.500 0.500
Br1 Br 0.000 0.500 0.500
```

Which one is most stable, and which one is least stable? entry P is the most stable of them, while entry Q is the least stable.

Entry P
CoAs2SBr after structural relaxation. Source: Alexandria via LeMat-Bulk, functional PBE.

```
data_CoAs2SBr
_chemical_formula_sum 'Co1 As2 S1 Br1'
_symmetry_space_group_name_H-M 'P 4/m m m'
_symmetry_Int_Tables_number 123
_symmetry_space_group_name_Hall '-P 4 2'
_cell_length_a 4.802
_cell_length_b 4.802
_cell_length_c 5.181
_cell_angle_alpha 90.00
_cell_angle_beta 90.00
_cell_angle_gamma 90.00
loop_
_atom_site_label
_atom_site_type_symbol
_atom_site_fract_x
_atom_site_fract_y
_atom_site_fract_z
Co1 Co 0.000 0.000 0.000
As1 As 0.000 0.500 0.500
S1 S 0.500 0.500 0.500
Br1 Br 0.500 0.500 0.000
```

Entry Q
CoAs2SBr after structural relaxation. Source: Alexandria via LeMat-Bulk, functional PBE.

```
data_CoAs2SBr
_chemical_formula_sum 'Co1 As2 S1 Br1'
_symmetry_space_group_name_H-M 'P 4/m m m'
_symmetry_Int_Tables_number 123
_symmetry_space_group_name_Hall '-P 4 2'
_cell_length_a 4.611
_cell_length_b 4.611
_cell_length_c 4.727
_cell_angle_alpha 90.00
_cell_angle_beta 90.00
_cell_angle_gamma 90.00
loop_
_atom_site_label
_atom_site_type_symbol
_atom_site_fract_x
_atom_site_fract_y
_atom_site_fract_z
Co1 Co 0.000 0.000 0.000
As1 As 0.000 0.500 0.000
S1 S 0.500 0.500 0.500
Br1 Br 0.000 0.000 0.500
```

Which one is most stable, and which one is least stable? entry Q is the most stable of them, while entry P is the least stable.